Record 1
DFT (PBE) results for a relaxed CeSm4Pb5 crystal.

Space-group type: No. 123
Size of the total moment in μB per atom: 0.16
DOS at the Fermi energy in states/eV per atom: 1.336
Total energy in eV/atom: -4.79

Lattice parameters (Å, degrees): 4.154 4.154 17.242 90.00 90.00 90.00
Atoms (fractional coordinates):
Ce  0.000  0.000  0.000
Sm  0.000  0.000  0.198
Sm  0.000  0.000  0.400
Sm  0.000  0.000  0.600
Sm  0.000  0.000  0.802
Pb  0.500  0.500  0.101
Pb  0.500  0.500  0.300
Pb  0.500  0.500  0.500
Pb  0.500  0.500  0.700
Pb  0.500  0.500  0.899

***

Record 2
DFT (PBE) results for a relaxed CeSm2Pb9 crystal.

Space-group type: No. 123
Size of the total moment in μB per atom: 0.09
DOS at the Fermi energy in states/eV per atom: 0.900
Total energy in eV/atom: -4.41

Lattice parameters (Å, degrees): 4.915 4.915 14.752 90.00 90.00 90.00
Atoms (fractional coordinates):
Ce  0.000  0.000  0.000
Sm  0.000  0.000  0.330
Sm  0.000  0.000  0.670
Pb  0.000  0.500  0.166
Pb  0.000  0.500  0.500
Pb  0.000  0.500  0.834
Pb  0.500  0.000  0.166
Pb  0.500  0.000  0.500
Pb  0.500  0.000  0.834
Pb  0.500  0.500  0.000
Pb  0.500  0.500  0.334
Pb  0.500  0.500  0.666

***

Record 3
DFT (PBE) results for a relaxed CeSmPb2 crystal.

Space-group type: No. 123
Size of the total moment in μB per atom: 0.41
DOS at the Fermi energy in states/eV per atom: 1.976
Total energy in eV/atom: -4.96

Lattice parameters (Å, degrees): 5.107 5.107 4.541 90.00 90.00 90.00
Atoms (fractional coordinates):
Ce  0.000  0.000  0.000
Sm  0.500  0.500  0.000
Pb  0.000  0.500  0.500
Pb  0.500  0.000  0.500

***

Record 4
DFT (PBE) results for a relaxed CeSm2Pb2 crystal.

Space-group type: No. 11
Size of the total moment in μB per atom: 0.24
DOS at the Fermi energy in states/eV per atom: 1.830
Total energy in eV/atom: -4.81

Lattice parameters (Å, degrees): 6.074 3.664 14.319 90.00 90.00 90.00
Atoms (fractional coordinates):
Ce  0.249  0.250  0.276
Ce  0.751  0.750  0.724
Sm  0.250  0.250  0.902
Sm  0.250  0.750  0.475
Sm  0.750  0.250  0.525
Sm  0.750  0.750  0.098
Pb  0.250  0.750  0.089
Pb  0.251  0.250  0.671
Pb  0.749  0.750  0.329
Pb  0.750  0.250  0.911

***

Record 5
DFT (PBE) results for a relaxed CeSmPb6 crystal.

Space-group type: No. 123
Size of the total moment in μB per atom: 0.13
DOS at the Fermi energy in states/eV per atom: 1.117
Total energy in eV/atom: -4.46

Lattice parameters (Å, degrees): 4.916 4.916 9.816 90.00 90.00 90.00
Atoms (fractional coordinates):
Ce  0.000  0.000  0.000
Sm  0.000  0.000  0.500
Pb  0.000  0.500  0.250
Pb  0.000  0.500  0.750
Pb  0.500  0.000  0.250
Pb  0.500  0.000  0.750
Pb  0.500  0.500  0.000
Pb  0.500  0.500  0.500

***

Record 6
DFT (PBE) results for a relaxed CeSmPb crystal.

Space-group type: No. 107
Size of the total moment in μB per atom: 0.30
DOS at the Fermi energy in states/eV per atom: 2.490
Relative energy among the computed polymorphs in eV per atom: 0.1536

Lattice parameters (Å, degrees): 5.818 5.818 5.818 137.44 137.44 61.76
Atoms (fractional coordinates):
Ce  0.000  0.000  0.000
Sm  0.306  0.306  0.000
Pb  0.654  0.654  0.000